The following is a DFT calculation (PBE) of a relaxed KTlS3 crystal.

Results
The formation energy from raw total energies is 0.70 eV/atom. The density of states at the Fermi level is 1.870 states/eV/atom. As for the space group: No. 221. For the uncorrected energy, the calculation gives -2.472 eV/atom.

abc: 5.7426 5.7426 5.7426
angles: 90.00 90.00 90.00
Last column: nearest neighbours and their distance in Å.
Fractional positions:
K 0.0000 0.0000 0.0000  6 S 2.87
Tl 0.5000 0.5000 0.5000  12 S 4.06
S 0.0000 0.0000 0.5000  2 K 2.87
S 0.0000 0.5000 0.0000  2 K 2.87
S 0.5000 0.0000 0.0000  2 K 2.87